! ThScV4 PBE relaxed; values from VASP
&SYSTEM
  ibrav = 0, nat = 6, ntyp = 3
/
ATOMIC_SPECIES
Th 232.04 Th.upf
Sc 44.96 Sc.upf
V 50.94 V.upf
ATOMIC_POSITIONS angstrom
Th 0.000 0.000 0.000
Sc 1.872 1.872 1.872
V 4.675 2.811 2.811
V 2.811 4.675 2.811
V 2.811 2.811 4.675
V 4.675 4.675 4.675
CELL_PARAMETERS angstrom
0.000 3.743 3.743
3.743 0.000 3.743
3.743 3.743 0.000
! - ΔH_f (0 K) (eV/atom) = 0.1374
! - M_tot (μB/atom) = 0.000
! - total DFT energy (no corrections) (eV/atom) = -8.234

=====

! Th2ScV PBE relaxed; values from VASP
&SYSTEM
  ibrav = 0, nat = 4, ntyp = 3
/
ATOMIC_SPECIES
Th 232.04 Th.upf
Sc 44.96 Sc.upf
V 50.94 V.upf
ATOMIC_POSITIONS angstrom
Th 0.000 2.660 0.000
Th 2.660 0.000 0.000
Sc 0.000 0.000 1.846
V 2.660 2.660 1.846
CELL_PARAMETERS angstrom
5.320 0.000 0.000
0.000 5.320 0.000
0.000 0.000 3.692
! - ΔH_f (0 K) (eV/atom) = 0.2399
! - offset from the most stable computed form (eV/atom) = 0.032
! - M_tot (μB/atom) = 0.583
! - total DFT energy (no corrections) (eV/atom) = -7.333

=====

! ThSc2V PBE relaxed; values from VASP
&SYSTEM
  ibrav = 0, nat = 4, ntyp = 3
/
ATOMIC_SPECIES
Th 232.04 Th.upf
Sc 44.96 Sc.upf
V 50.94 V.upf
ATOMIC_POSITIONS angstrom
Th 0.000 0.000 0.000
Sc 1.707 1.707 2.482
Sc 1.707 1.707 5.744
V 0.000 0.000 4.113
CELL_PARAMETERS angstrom
3.415 0.000 0.000
0.000 3.415 0.000
0.000 0.000 8.226
! - ΔH_f (0 K) (eV/atom) = 0.1803
! - M_tot (μB/atom) = 0.866
! - total DFT energy (no corrections) (eV/atom) = -7.120

=====

! ThScV PBE relaxed; values from VASP
&SYSTEM
  ibrav = 0, nat = 9, ntyp = 3
/
ATOMIC_SPECIES
Th 232.04 Th.upf
Sc 44.96 Sc.upf
V 50.94 V.upf
ATOMIC_POSITIONS angstrom
Th 0.000 0.000 0.000
Th -0.157 2.606 3.719
Th 3.290 0.000 2.108
Sc 1.607 2.606 0.929
Sc 4.765 2.606 0.577
Sc 3.358 2.606 3.965
V -0.623 0.000 2.958
V -0.397 0.000 5.513
V 1.525 0.000 4.356
CELL_PARAMETERS angstrom
6.805 0.000 0.000
0.000 5.212 0.000
-3.210 0.000 6.007
! - ΔH_f (0 K) (eV/atom) = 0.3193
! - M_tot (μB/atom) = 0.000
! - total DFT energy (no corrections) (eV/atom) = -7.304

=====

! Th2ScV PBE relaxed; values from VASP
&SYSTEM
  ibrav = 0, nat = 4, ntyp = 3
/
ATOMIC_SPECIES
Th 232.04 Th.upf
Sc 44.96 Sc.upf
V 50.94 V.upf
ATOMIC_POSITIONS angstrom
Th 0.000 0.000 1.817
Th 0.000 0.000 6.271
Sc 1.790 1.790 4.044
V 1.790 1.790 0.000
CELL_PARAMETERS angstrom
3.580 0.000 0.000
0.000 3.580 0.000
0.000 0.000 8.088
! - ΔH_f (0 K) (eV/atom) = 0.2077
! - offset from the most stable computed form (eV/atom) = 0.000
! - M_tot (μB/atom) = 0.331
! - total DFT energy (no corrections) (eV/atom) = -7.365

=====

! ThScW4 PBE relaxed; values from VASP
&SYSTEM
  ibrav = 0, nat = 6, ntyp = 3
/
ATOMIC_SPECIES
Th 232.04 Th.upf
Sc 44.96 Sc.upf
W 183.84 W.upf
ATOMIC_POSITIONS angstrom
Th 0.000 0.000 0.000
Sc 5.863 5.863 5.863
W 2.931 2.931 2.931
W 4.886 4.886 2.931
W 4.886 2.931 4.886
W 2.931 4.886 4.886
CELL_PARAMETERS angstrom
0.000 3.908 3.908
3.908 0.000 3.908
3.908 3.908 0.000
! - ΔH_f (0 K) (eV/atom) = 0.1131
! - M_tot (μB/atom) = 0.000
! - total DFT energy (no corrections) (eV/atom) = -10.814

=====

! YThSc PBE relaxed; values from VASP
&SYSTEM
  ibrav = 0, nat = 12, ntyp = 3
/
ATOMIC_SPECIES
Y 88.91 Y.upf
Th 232.04 Th.upf
Sc 44.96 Sc.upf
ATOMIC_POSITIONS angstrom
Y 0.021 1.599 0.000
Y 2.748 6.398 0.000
Y 2.791 3.199 0.000
Y 5.517 7.998 0.000
Th 0.003 7.998 3.362
Th 2.766 3.199 3.362
Th 2.772 6.398 3.362
Th 5.535 1.599 3.362
Sc 0.000 4.799 1.735
Sc 0.000 4.799 4.989
Sc 2.769 0.000 1.735
Sc 2.769 0.000 4.989
CELL_PARAMETERS angstrom
5.538 0.000 0.000
0.000 9.597 0.000
0.000 0.000 6.724
! - ΔH_f (0 K) (eV/atom) = 0.0979
! - offset from the most stable computed form (eV/atom) = 0.069
! - M_tot (μB/atom) = 0.000
! - total DFT energy (no corrections) (eV/atom) = -6.641

=====

! Y3ThSc3 PBE relaxed; values from VASP
&SYSTEM
  ibrav = 0, nat = 14, ntyp = 3
/
ATOMIC_SPECIES
Y 88.91 Y.upf
Th 232.04 Th.upf
Sc 44.96 Sc.upf
ATOMIC_POSITIONS angstrom
Y -3.243 6.465 1.369
Y 0.654 1.981 1.369
Y 2.043 0.424 4.106
Y 2.589 7.598 1.369
Y 3.978 6.041 4.106
Y 7.875 1.557 4.106
Th 0.000 5.348 1.369
Th 4.632 2.674 4.106
Sc -1.921 4.895 4.106
Sc 1.353 3.912 4.106
Sc 4.064 0.784 1.369
Sc 0.568 7.238 4.106
Sc 3.279 4.111 1.369
Sc 6.552 3.127 1.369
CELL_PARAMETERS angstrom
9.264 0.000 0.000
-4.632 8.022 0.000
0.000 0.000 5.475
! - ΔH_f (0 K) (eV/atom) = 0.0350
! - M_tot (μB/atom) = 0.000
! - total DFT energy (no corrections) (eV/atom) = -6.509